{
  "formula": "CaTa2Sb",
  "functional": "GGA-PBEsol",
  "state": "relaxed",
  "magnetic_moment_mub_per_atom": 0.000,
  "formation_energy_uncorrected_ev_per_atom": 0.317,
  "cell": [[5.3234, -1.5386, 0.0000], [5.3234, 1.5386, 0.0000], [-1.0385, 0.0000, 5.0821]],
  "species": ["Ca", "Ta", "Ta", "Sb"],
  "fractional_positions": [[0.0000, 0.0000, 0.0000], [0.2355, 0.2355, 0.7297], [0.7645, 0.7645, 0.2703], [0.5000, 0.5000, 0.5000]]
}